(1)
The following is a GGA-PBE calculation of a relaxed Hf7P4 crystal, from OQMD.

Structure (POSCAR):
```
Hf7P4
1.0
7.8715 -1.7639 0.0000
7.8715 1.7639 0.0000
-3.6830 0.0000 14.2090
Hf P
14 8
Direct
0.0000 0.0000 0.0000
0.0036 0.0036 0.6691
0.1763 0.1763 0.5410
0.1969 0.1969 0.3114
0.2054 0.2054 0.7975
0.3391 0.3391 0.0293
0.4307 0.4307 0.8312
0.5000 0.5000 0.5000
0.5693 0.5693 0.1688
0.6609 0.6609 0.9707
0.7946 0.7946 0.2025
0.8031 0.8031 0.6886
0.8237 0.8237 0.4590
0.9964 0.9964 0.3309
0.0629 0.0629 0.8523
0.1766 0.1766 0.1113
0.3702 0.3702 0.3390
0.3757 0.3757 0.6006
0.6243 0.6243 0.3994
0.6298 0.6298 0.6610
0.8234 0.8234 0.8887
0.9371 0.9371 0.1477
```

Calculated values
E_tot = -206.23 eV/cell

(2)
The following is a GGA-PBE calculation of a relaxed LuZnFeIr crystal, from OQMD.

Structure (POSCAR):
```
LuZnFeIr
1.0
6.3473 0.0000 0.0000
0.0000 6.3473 0.0000
0.0000 0.0000 6.3473
Lu Zn Fe Ir
4 4 4 4
Direct
0.0000 0.0000 0.0000
0.0000 0.5000 0.5000
0.5000 0.0000 0.5000
0.5000 0.5000 0.0000
0.0000 0.0000 0.5000
0.0000 0.5000 0.0000
0.5000 0.0000 0.0000
0.5000 0.5000 0.5000
0.2500 0.2500 0.7500
0.2500 0.7500 0.2500
0.7500 0.2500 0.2500
0.7500 0.7500 0.7500
0.2500 0.2500 0.2500
0.2500 0.7500 0.7500
0.7500 0.2500 0.7500
0.7500 0.7500 0.2500
```

Calculated values
formation energy from the elements = -0.19 eV/atom
energy relative to the lowest polymorph listed for this composition = 0 meV per atom

(3)
The following is a GGA-PBE calculation of a relaxed ZrCdInFe crystal, from OQMD.

Structure (POSCAR):
```
ZrCdInFe
1.0
6.7116 0.0000 0.0000
0.0000 6.7116 0.0000
0.0000 0.0000 6.7116
Zr Cd In Fe
4 4 4 4
Direct
0.0000 0.0000 0.0000
0.0000 0.5000 0.5000
0.5000 0.0000 0.5000
0.5000 0.5000 0.0000
0.2500 0.2500 0.2500
0.2500 0.7500 0.7500
0.7500 0.2500 0.7500
0.7500 0.7500 0.2500
0.0000 0.0000 0.5000
0.0000 0.5000 0.0000
0.5000 0.0000 0.0000
0.5000 0.5000 0.5000
0.2500 0.2500 0.7500
0.2500 0.7500 0.2500
0.7500 0.2500 0.2500
0.7500 0.7500 0.7500
```

Calculated values
energy relative to the lowest polymorph listed for this composition = 0 meV per atom

(4)
The following is a GGA-PBE calculation of a relaxed TcSb crystal, from OQMD.

Structure (POSCAR):
```
TcSb
1.0
3.8199 0.0000 0.0000
-1.9100 3.3082 0.0000
0.0000 0.0000 6.2719
Tc Sb
2 2
Direct
0.3333 0.6667 0.2500
0.6667 0.3333 0.7500
0.0000 0.0000 0.0000
0.0000 0.0000 0.5000
```

Calculated values
energy relative to the lowest polymorph listed for this composition = 466 meV per atom

(5)
The following is a GGA-PBE calculation of a relaxed NiB crystal, from OQMD.

Structure (POSCAR):
```
NiB
1.0
2.9388 0.0000 0.0000
0.0000 7.3684 0.0000
0.0000 0.0000 2.9842
Ni B
4 4
Direct
0.0000 0.1471 0.2500
0.0000 0.8529 0.7500
0.5000 0.3529 0.7500
0.5000 0.6471 0.2500
0.0000 0.4330 0.2500
0.0000 0.5670 0.7500
0.5000 0.0670 0.7500
0.5000 0.9330 0.2500
```

Calculated values
E_tot = -50.92 eV/cell

(6)
The following is a GGA-PBE calculation of a relaxed RbDyCu crystal, from OQMD.

Structure (POSCAR):
```
RbDyCu
1.0
7.4237 0.0000 0.0000
0.0000 7.4237 0.0000
0.0000 0.0000 7.4237
Rb Dy Cu
4 4 4
Direct
0.0000 0.0000 0.0000
0.0000 0.5000 0.5000
0.5000 0.0000 0.5000
0.5000 0.5000 0.0000
0.0000 0.0000 0.5000
0.0000 0.5000 0.0000
0.5000 0.0000 0.0000
0.5000 0.5000 0.5000
0.2500 0.2500 0.7500
0.2500 0.7500 0.2500
0.7500 0.2500 0.2500
0.7500 0.7500 0.7500
```

Calculated values
E_tot = -28.55 eV/cell

(7)
The following is a GGA-PBE calculation of a relaxed Lu4Nb2Sb3N3 crystal, from OQMD.

Structure (POSCAR):
```
Lu4Nb2Sb3N3
1.0
5.1721 -3.0054 0.0000
5.1721 3.0054 0.0000
-3.4275 0.0000 13.7245
Lu Nb Sb N
8 4 6 6
Direct
0.0262 0.2003 0.0890
0.1411 0.3021 0.4110
0.2003 0.0262 0.5890
0.3021 0.1411 0.9110
0.6979 0.8589 0.0890
0.7997 0.9738 0.4110
0.8589 0.6979 0.5890
0.9738 0.7997 0.9110
0.3711 0.5264 0.0788
0.4736 0.6289 0.4212
0.5264 0.3711 0.5788
0.6289 0.4736 0.9212
0.1086 0.8914 0.2500
0.2748 0.4172 0.7499
0.4172 0.2748 0.2499
0.5828 0.7252 0.7501
0.7252 0.5828 0.2501
0.8914 0.1086 0.7500
0.0000 0.5000 0.0000
0.1558 0.6718 0.4997
0.3282 0.8442 0.0003
0.5000 0.0000 0.5000
0.6718 0.1558 0.9997
0.8442 0.3282 0.5003
```

Calculated values
E_tot = -175.25 eV/cell

(8)
The following is a GGA-PBE calculation of a relaxed PmPrSb2 crystal, from OQMD.

Structure (POSCAR):
```
PmPrSb2
1.0
4.5219 0.0000 0.0000
0.0000 4.5219 0.0000
0.0000 0.0000 6.3947
Pm Pr Sb
1 1 2
Direct
0.0000 0.0000 0.0000
0.5000 0.5000 0.5000
0.0000 0.0000 0.5000
0.5000 0.5000 0.0000
```

Calculated values
E_tot = -22.52 eV/cell

(9)
The following is a GGA-PBE calculation of a relaxed GdDyAl3Ge2 crystal, from OQMD.

Structure (POSCAR):
```
GdDyAl3Ge2
1.0
10.3265 0.0000 0.0000
0.0000 4.0886 0.0000
-1.2027 0.0000 6.6638
Gd Dy Al Ge
2 2 6 4
Direct
0.0000 0.0000 0.0000
0.5000 0.5000 0.0000
0.2664 0.5000 0.3667
0.7664 0.0000 0.3667
0.0806 0.0000 0.5582
0.1861 0.5000 0.8067
0.3825 0.0000 0.6823
0.5806 0.5000 0.5582
0.6861 0.0000 0.8067
0.8825 0.5000 0.6823
0.2840 0.0000 0.0419
0.4825 0.0000 0.3263
0.7840 0.5000 0.0419
0.9825 0.5000 0.3263
```

Calculated values
E_tot = -67.11 eV/cell

(10)
The following is a GGA-PBE calculation of a relaxed KTl3Ga3Au4 crystal, from OQMD.

Structure (POSCAR):
```
KTl3Ga3Au4
1.0
8.1837 0.0000 0.0000
-4.0919 7.0873 0.0000
0.0000 0.0000 4.5155
K Tl Ga Au
1 3 3 4
Direct
0.0000 0.0000 0.0000
0.5359 0.0718 0.0000
0.5359 0.4641 0.0000
0.9282 0.4641 0.0000
0.2050 0.4100 0.5000
0.2050 0.7950 0.5000
0.5900 0.7950 0.5000
0.3333 0.6667 0.0000
0.3522 0.1761 0.5000
0.8239 0.1761 0.5000
0.8239 0.6478 0.5000
```

Calculated values
energy relative to the lowest polymorph listed for this composition = 31 meV per atom

(11)
The following is a GGA-PBE calculation of a relaxed Ta2Ni crystal, from OQMD.

Structure (POSCAR):
```
Ta2Ni
1.0
5.3811 0.0000 0.0000
-2.6906 4.6602 0.0000
0.0000 0.0000 15.8866
Ta Ni
16 8
Direct
0.0000 0.5000 0.0000
0.0000 0.5000 0.5000
0.1623 0.3246 0.2500
0.1623 0.8377 0.2500
0.3246 0.1623 0.7500
0.3333 0.6667 0.6585
0.3333 0.6667 0.8415
0.5000 0.0000 0.0000
0.5000 0.0000 0.5000
0.5000 0.5000 0.0000
0.5000 0.5000 0.5000
0.6667 0.3333 0.1585
0.6667 0.3333 0.3415
0.6754 0.8377 0.2500
0.8377 0.1623 0.7500
0.8377 0.6754 0.7500
0.0000 0.0000 0.0846
0.0000 0.0000 0.4154
0.0000 0.0000 0.5846
0.0000 0.0000 0.9154
0.3333 0.6667 0.1250
0.3333 0.6667 0.3750
0.6667 0.3333 0.6250
0.6667 0.3333 0.8750
```

Calculated values
formation energy from the elements = 0.26 eV/atom

(12)
The following is a GGA-PBE calculation of a relaxed PrPa crystal, from OQMD.

Structure (POSCAR):
```
PrPa
1.0
6.1808 0.0000 0.0000
0.0000 6.1808 0.0000
0.0000 0.0000 6.1808
Pr Pa
4 4
Direct
0.0000 0.0000 0.0000
0.0000 0.5000 0.5000
0.5000 0.0000 0.5000
0.5000 0.5000 0.0000
0.0000 0.0000 0.5000
0.0000 0.5000 0.0000
0.5000 0.0000 0.0000
0.5000 0.5000 0.5000
```

Calculated values
formation energy from the elements = 1.10 eV/atom
energy relative to the lowest polymorph listed for this composition = 804 meV per atom

(13)
The following is a GGA-PBE calculation of a relaxed PrY2Cd3Ga2Ag crystal, from OQMD.

Structure (POSCAR):
```
PrY2Cd3Ga2Ag
1.0
4.3839 0.0000 0.0000
0.0000 6.4671 3.7082
0.0000 -6.4671 3.7082
Pr Y Cd Ga Ag
1 2 3 2 1
Direct
0.0000 0.0000 0.0000
0.0000 0.1639 0.5832
0.0000 0.5832 0.1639
0.5000 0.3316 0.3316
0.5000 0.5794 0.8325
0.5000 0.8325 0.5794
0.5000 0.2523 0.9135
0.5000 0.9135 0.2523
0.0000 0.5758 0.5758
```

Calculated values
E_tot = -33.75 eV/cell

(14)
The following is a GGA-PBE calculation of a relaxed LiLa2NbO6 crystal, from OQMD.

Structure (POSCAR):
```
LiLa2NbO6
1.0
5.6024 0.0000 0.0000
0.0000 5.7604 0.0000
-5.5584 0.0000 7.9284
Li La Nb O
2 4 2 12
Direct
0.0000 0.0000 0.0000
0.0000 0.5000 0.5000
0.2379 0.0521 0.7481
0.2379 0.4479 0.2481
0.7621 0.5521 0.7519
0.7621 0.9479 0.2519
0.5000 0.0000 0.5000
0.5000 0.5000 0.0000
0.1618 0.1911 0.4528
0.1618 0.3089 0.9528
0.2596 0.7107 0.4482
0.2596 0.7893 0.9482
0.3520 0.0308 0.2565
0.3520 0.4692 0.7565
0.6480 0.5308 0.2435
0.6480 0.9692 0.7435
0.7404 0.2107 0.0518
0.7404 0.2893 0.5518
0.8382 0.6911 0.0472
0.8382 0.8089 0.5472
```

Calculated values
E_tot = -163.48 eV/cell

(15)
The following is a GGA-PBE calculation of a relaxed GaFeAu2Se4 crystal, from OQMD.

Structure (POSCAR):
```
GaFeAu2Se4
1.0
3.6971 0.0000 0.0000
-1.8485 3.2017 0.0000
0.0000 0.0000 15.0185
Ga Fe Au Se
1 1 2 4
Direct
0.0000 0.0000 0.0000
0.0000 0.0000 0.5000
0.3333 0.6667 0.2579
0.6667 0.3333 0.7421
0.3333 0.6667 0.0948
0.3333 0.6667 0.4204
0.6667 0.3333 0.5796
0.6667 0.3333 0.9052
```

Calculated values
E_tot = -33.24 eV/cell

(16)
The following is a GGA-PBE calculation of a relaxed YCuNiSb crystal, from OQMD.

Structure (POSCAR):
```
YCuNiSb
1.0
6.7178 0.0000 0.0000
0.0000 6.7178 0.0000
0.0000 0.0000 6.7178
Y Cu Ni Sb
4 4 4 4
Direct
0.0000 0.0000 0.0000
0.0000 0.5000 0.5000
0.5000 0.0000 0.5000
0.5000 0.5000 0.0000
0.0000 0.0000 0.5000
0.0000 0.5000 0.0000
0.5000 0.0000 0.0000
0.5000 0.5000 0.5000
0.2500 0.2500 0.7500
0.2500 0.7500 0.2500
0.7500 0.2500 0.2500
0.7500 0.7500 0.7500
0.2500 0.2500 0.2500
0.2500 0.7500 0.7500
0.7500 0.2500 0.7500
0.7500 0.7500 0.2500
```

Calculated values
energy relative to the lowest polymorph listed for this composition = 252 meV per atom

(17)
The following is a GGA-PBE calculation of a relaxed Gd2YAl3NiGe2 crystal, from OQMD.

Structure (POSCAR):
```
Gd2YAl3NiGe2
1.0
4.2029 0.0000 0.0000
0.0000 6.0444 3.4911
0.0000 -6.0444 3.4911
Gd Y Al Ni Ge
2 1 3 1 2
Direct
0.0000 0.2013 0.7987
0.0000 0.7987 0.2013
0.0000 0.6040 0.6040
0.5000 0.2021 0.4302
0.5000 0.4302 0.2021
0.5000 0.9728 0.9728
0.0000 0.2022 0.2022
0.5000 0.5352 0.8671
0.5000 0.8671 0.5352
```

Calculated values
E_tot = -48.53 eV/cell

(18)
The following is a GGA-PBE calculation of a relaxed Ir3Os3W2 crystal, from OQMD.

Structure (POSCAR):
```
Ir3Os3W2
1.0
4.4114 0.0000 0.0000
0.0000 5.5424 0.0000
0.0000 0.0000 9.6208
Ir Os W
6 6 4
Direct
0.0000 0.0000 0.0000
0.0000 0.5000 0.5000
0.5000 0.2485 0.0812
0.5000 0.2515 0.5812
0.5000 0.7485 0.5812
0.5000 0.7515 0.0812
0.0000 0.2493 0.7468
0.0000 0.2507 0.2468
0.0000 0.7493 0.2468
0.0000 0.7507 0.7468
0.5000 0.0000 0.3315
0.5000 0.5000 0.8315
0.0000 0.0000 0.4976
0.0000 0.5000 0.9976
0.5000 0.0000 0.8317
0.5000 0.5000 0.3317
```

Calculated values
formation energy from the elements = -0.24 eV/atom
energy relative to the lowest polymorph listed for this composition = 12 meV per atom

(19)
The following is a GGA-PBE calculation of a relaxed KLaZnS3 crystal, from OQMD.

Structure (POSCAR):
```
KLaZnS3
1.0
9.2118 -2.1252 0.0000
9.2118 2.1252 0.0000
-2.0173 0.0000 8.1002
K La Zn S
2 2 2 6
Direct
0.1345 0.1345 0.0751
0.8655 0.8655 0.9249
0.1667 0.1667 0.5797
0.8333 0.8333 0.4203
0.4713 0.4713 0.2574
0.5287 0.5287 0.7426
0.0000 0.0000 0.5000
0.3257 0.3257 0.6391
0.3423 0.3423 0.1952
0.5000 0.5000 0.0000
0.6577 0.6577 0.8048
0.6743 0.6743 0.3609
```

Calculated values
E_tot = -55.54 eV/cell

(20)
The following is a GGA-PBE calculation of a relaxed NaHfAgS3 crystal, from OQMD.

Structure (POSCAR):
```
NaHfAgS3
1.0
1.8740 -6.6450 0.0000
1.8740 6.6450 0.0000
0.0000 0.0000 10.0983
Na Hf Ag S
2 2 2 6
Direct
0.2305 0.7695 0.7500
0.7695 0.2305 0.2500
0.5000 0.5000 0.0000
0.5000 0.5000 0.5000
0.0668 0.9332 0.2500
0.9332 0.0668 0.7500
0.1328 0.8672 0.0260
0.1328 0.8672 0.4740
0.4334 0.5666 0.2500
0.5666 0.4334 0.7500
0.8672 0.1328 0.5260
0.8672 0.1328 0.9740
```

Calculated values
energy relative to the lowest polymorph listed for this composition = 46 meV per atom

(21)
The following is a GGA-PBE calculation of a relaxed BaNaGdSe3 crystal, from OQMD.

Structure (POSCAR):
```
BaNaGdSe3
1.0
2.2130 -7.1540 0.0000
2.2130 7.1540 0.0000
0.0000 0.0000 10.9389
Ba Na Gd Se
2 2 2 6
Direct
0.2467 0.7533 0.7500
0.7533 0.2467 0.2500
0.0274 0.9726 0.2500
0.9726 0.0274 0.7500
0.5000 0.5000 0.0000
0.5000 0.5000 0.5000
0.1350 0.8650 0.0466
0.1350 0.8650 0.4534
0.4211 0.5789 0.2500
0.5789 0.4211 0.7500
0.8650 0.1350 0.5466
0.8650 0.1350 0.9534
```

Calculated values
E_tot = -56.87 eV/cell

(22)
The following is a GGA-PBE calculation of a relaxed Li4Tl2CdPd crystal, from OQMD.

Structure (POSCAR):
```
Li4Tl2CdPd
1.0
4.6381 0.0000 0.0000
0.0000 4.6381 0.0000
0.0000 0.0000 6.6904
Li Tl Cd Pd
4 2 1 1
Direct
0.0000 0.0000 0.0000
0.0000 0.5000 0.2340
0.5000 0.0000 0.7660
0.5000 0.5000 0.5000
0.0000 0.5000 0.7693
0.5000 0.0000 0.2307
0.0000 0.0000 0.5000
0.5000 0.5000 0.0000
```

Calculated values
E_tot = -20.81 eV/cell

(23)
The following is a GGA-PBE calculation of a relaxed GaCuOsW crystal, from OQMD.

Structure (POSCAR):
```
GaCuOsW
1.0
6.1224 0.0000 0.0000
0.0000 6.1224 0.0000
0.0000 0.0000 6.1224
Ga Cu Os W
4 4 4 4
Direct
0.0000 0.0000 0.0000
0.0000 0.5000 0.5000
0.5000 0.0000 0.5000
0.5000 0.5000 0.0000
0.2500 0.2500 0.2500
0.2500 0.7500 0.7500
0.7500 0.2500 0.7500
0.7500 0.7500 0.2500
0.2500 0.2500 0.7500
0.2500 0.7500 0.2500
0.7500 0.2500 0.2500
0.7500 0.7500 0.7500
0.0000 0.0000 0.5000
0.0000 0.5000 0.0000
0.5000 0.0000 0.0000
0.5000 0.5000 0.5000
```

Calculated values
energy relative to the lowest polymorph listed for this composition = 0 meV per atom